{"formula": "UPa2Se4", "functional": "PBE", "state": "relaxed", "m_tot_mub_per_cell": 7.9, "formation_energy_uncorrected_ev_per_atom": -1.2287, "cell": [[7.0195, 0.0000, 4.0459], [2.3935, 6.5748, 3.9597], [0.0421, 0.0660, 8.0393]], "species": ["U", "U", "Pa", "Pa", "Pa", "Pa", "Se", "Se", "Se", "Se", "Se", "Se", "Se", "Se"], "frac_coords": [[0.5000, 0.5000, 0.0000], [0.0000, 0.5000, 0.0000], [0.0000, 0.0000, 0.0000], [0.0000, 0.0000, 0.5000], [0.0000, 0.5000, 0.5000], [0.5000, 0.0000, 0.5000], [0.2623, 0.2387, 0.2367], [0.7377, 0.2633, 0.2613], [0.2623, 0.7367, 0.7387], [0.7377, 0.7613, 0.7633], [0.7396, 0.7504, 0.2504], [0.7404, 0.2496, 0.7496], [0.2596, 0.7504, 0.2504], [0.2604, 0.2496, 0.7496]]}

***

{"formula": "Pa6VSe12", "functional": "PBE", "state": "relaxed", "m_tot_mub_per_cell": 11.1, "formation_energy_uncorrected_ev_per_atom": -1.2041, "cell": [[8.1336, -0.0839, -0.1005], [-1.3160, 8.0269, -0.1005], [-1.3160, -1.5333, 7.8797]], "species": ["Pa", "Pa", "Pa", "Pa", "Pa", "Pa", "V", "Se", "Se", "Se", "Se", "Se", "Se", "Se", "Se", "Se", "Se", "Se", "Se"], "frac_coords": [[0.7027, 0.8705, 0.3651], [0.6349, 0.2973, 0.1295], [0.1295, 0.6349, 0.2973], [0.2973, 0.1295, 0.6349], [0.3651, 0.7027, 0.8705], [0.8705, 0.3651, 0.7027], [0.0000, 0.0000, 0.0000], [0.8216, 0.5723, 0.4324], [0.4324, 0.8216, 0.5723], [0.5723, 0.4324, 0.8216], [0.1784, 0.4277, 0.5676], [0.5676, 0.1784, 0.4277], [0.4277, 0.5676, 0.1784], [0.0654, 0.9735, 0.3145], [0.0265, 0.6855, 0.9346], [0.6855, 0.9346, 0.0265], [0.9346, 0.0265, 0.6855], [0.9735, 0.3145, 0.0654], [0.3145, 0.0654, 0.9735]]}

***

{"formula": "Pa2VSe", "functional": "PBE", "state": "relaxed", "m_tot_mub_per_cell": 0.8, "formation_energy_uncorrected_ev_per_atom": -0.1359, "cell": [[-3.7595, 1.0572, -1.8050], [0.1178, -3.6047, -2.3567], [-2.0914, -2.1088, 3.1210]], "species": ["Pa", "Pa", "Se", "V"], "frac_coords": [[0.0000, 0.0000, 0.5000], [0.0000, 0.5000, 0.0000], [0.5000, 0.0000, 0.0000], [0.5000, 0.5000, 0.5000]]}

***

{"formula": "Pa2VSe", "functional": "PBE", "state": "relaxed", "m_tot_mub_per_cell": 1.6, "formation_energy_uncorrected_ev_per_atom": -0.0889, "cell": [[-0.9826, -3.5233, 1.3743], [0.2664, -3.1414, -2.3084], [6.4832, -3.2485, 1.8620]], "species": ["Pa", "Pa", "Se", "V"], "frac_coords": [[0.2397, 0.2397, 0.2808], [0.7603, 0.7603, 0.7192], [0.0000, 0.0000, 0.0000], [0.5000, 0.5000, 0.5000]]}

***

{"formula": "PaV2Se6", "functional": "PBE", "state": "relaxed", "m_tot_mub_per_cell": 3.0, "formation_energy_uncorrected_ev_per_atom": -0.8980, "cell": [[3.6814, 0.0000, -0.8435], [-0.5505, 7.6479, -2.4024], [0.0963, -0.5983, 8.8757]], "species": ["Pa", "V", "V", "Se", "Se", "Se", "Se", "Se", "Se"], "frac_coords": [[0.5000, 0.0000, 0.0000], [0.8200, 0.6416, 0.6399], [0.1800, 0.3584, 0.3601], [0.3294, 0.8742, 0.6588], [0.0143, 0.2641, 0.0286], [0.6721, 0.5667, 0.3442], [0.9857, 0.7359, 0.9714], [0.6706, 0.1258, 0.3412], [0.3279, 0.4333, 0.6558]]}

***

{"formula": "Pa2V2Se7", "functional": "PBE", "state": "relaxed", "m_tot_mub_per_cell": 12.0, "formation_energy_uncorrected_ev_per_atom": -0.9191, "cell": [[-6.7599, 6.1341, 0.2163], [-6.5831, -0.2361, -6.3228], [-8.4471, -2.5943, 2.2989]], "species": ["Pa", "Pa", "Pa", "Pa", "V", "V", "V", "V", "Se", "Se", "Se", "Se", "Se", "Se", "Se", "Se", "Se", "Se", "Se", "Se", "Se", "Se"], "frac_coords": [[0.6250, 0.6250, 0.6250], [0.6250, 0.6250, 0.1250], [0.6250, 0.1250, 0.6250], [0.1250, 0.6250, 0.6250], [0.6250, 0.1250, 0.1250], [0.1250, 0.6250, 0.1250], [0.1250, 0.1250, 0.6250], [0.1250, 0.1250, 0.1250], [0.2196, 0.2196, 0.7804], [0.2196, 0.7804, 0.2196], [0.4696, 0.0304, 0.4696], [0.4696, 0.4696, 0.0304], [0.7500, 0.7500, 0.7500], [0.7804, 0.2196, 0.2196], [0.4696, 0.0304, 0.0304], [0.0304, 0.4696, 0.4696], [0.0304, 0.0304, 0.4696], [0.0304, 0.4696, 0.0304], [0.2196, 0.7804, 0.7804], [0.5000, 0.5000, 0.5000], [0.7804, 0.2196, 0.7804], [0.7804, 0.7804, 0.2196]]}

***

{"formula": "PaV4Se8", "functional": "PBE", "state": "relaxed", "m_tot_mub_per_cell": 8.9, "formation_energy_uncorrected_ev_per_atom": -0.8123, "cell": [[6.5342, -0.0005, -3.5253], [-4.2178, 6.1101, -0.0004], [-0.1092, -0.0748, 7.6159]], "species": ["Pa", "V", "V", "V", "V", "Se", "Se", "Se", "Se", "Se", "Se", "Se", "Se"], "frac_coords": [[0.0000, 0.5000, 0.5000], [0.0000, 0.0000, 0.0000], [0.0000, 0.5000, 0.0000], [0.5000, 0.5000, 0.0000], [0.5000, 0.0000, 0.0000], [0.4800, 0.7400, 0.2201], [0.5200, 0.2600, 0.7799], [0.4782, 0.2391, 0.2313], [0.0078, 0.2469, 0.7687], [0.5218, 0.7609, 0.7687], [0.0078, 0.7609, 0.7687], [0.9922, 0.2391, 0.2313], [0.9922, 0.7531, 0.2313]]}

***

{"formula": "PaV3Se8", "functional": "PBE", "state": "relaxed", "m_tot_mub_per_cell": 4.0, "formation_energy_uncorrected_ev_per_atom": -0.8064, "cell": [[7.2586, 0.0000, 0.0000], [-3.6293, 5.1520, -3.5946], [0.0000, 0.3152, 7.9503]], "species": ["Pa", "V", "V", "V", "Se", "Se", "Se", "Se", "Se", "Se", "Se", "Se"], "frac_coords": [[0.0000, 0.0000, 0.0000], [0.5000, 0.0000, 0.0000], [0.5000, 0.5000, 0.0000], [0.0000, 0.5000, 0.0000], [0.2590, 0.5181, 0.7825], [0.7410, 0.4819, 0.2175], [0.2785, 0.0183, 0.7640], [0.7398, 0.0183, 0.7640], [0.7398, 0.4797, 0.7641], [0.2602, 0.5203, 0.2359], [0.2602, 0.9817, 0.2360], [0.7215, 0.9817, 0.2360]]}

***

{"formula": "PaVSe2", "functional": "PBE", "state": "relaxed", "m_tot_mub_per_cell": 0.0, "formation_energy_uncorrected_ev_per_atom": -0.4262, "cell": [[-0.8021, -2.0861, -2.3275], [-1.2319, -2.8813, 0.7701], [-9.1596, 1.8998, -0.7832]], "species": ["Pa", "Se", "Se", "V"], "frac_coords": [[0.0000, 0.0000, 0.0000], [0.1072, 0.1072, 0.6784], [0.8928, 0.8928, 0.3216], [0.5000, 0.5000, 0.5000]]}

***

{"formula": "PaV2Se6", "functional": "PBE", "state": "relaxed", "m_tot_mub_per_cell": 3.0, "formation_energy_uncorrected_ev_per_atom": -0.8084, "cell": [[4.9489, 0.0000, 0.0000], [2.4744, 6.5051, -0.5414], [2.4744, 2.0410, 6.7253]], "species": ["Pa", "V", "V", "Se", "Se", "Se", "Se", "Se", "Se"], "frac_coords": [[0.0000, 0.5000, 0.5000], [0.1794, 0.7308, 0.9105], [0.8206, 0.2692, 0.0895], [0.7391, 0.6417, 0.8801], [0.2609, 0.3583, 0.1199], [0.9599, 0.8728, 0.2075], [0.3625, 0.7166, 0.5583], [0.0401, 0.1272, 0.7925], [0.6375, 0.2834, 0.4417]]}

***

{"formula": "PaWSe", "functional": "PBE", "state": "relaxed", "m_tot_mub_per_cell": 0.0, "formation_energy_uncorrected_ev_per_atom": -0.4017, "cell": [[3.3961, -0.1922, -0.5313], [0.1747, 4.3146, -0.4441], [-3.4694, -3.2413, 9.5453]], "species": ["W", "W", "Pa", "Pa", "Se", "Se"], "frac_coords": [[0.7760, 0.6930, 0.4430], [0.2240, 0.3070, 0.5570], [0.9042, 0.0158, 0.7659], [0.0958, 0.9842, 0.2341], [0.5544, 0.6195, 0.8696], [0.4456, 0.3805, 0.1304]]}

***

{"formula": "PaW4Se8", "functional": "PBE", "state": "relaxed", "m_tot_mub_per_cell": 0.0, "formation_energy_uncorrected_ev_per_atom": -0.2380, "cell": [[6.2421, -0.0005, -3.3677], [-4.0292, 5.8369, -0.0004], [0.1418, 0.0985, 7.7318]], "species": ["Pa", "W", "W", "W", "W", "Se", "Se", "Se", "Se", "Se", "Se", "Se", "Se"], "frac_coords": [[0.0000, 0.5000, 0.5000], [0.0000, 0.0000, 0.0000], [0.0000, 0.5000, 0.0000], [0.5000, 0.5000, 0.0000], [0.5000, 0.0000, 0.0000], [0.4940, 0.7470, 0.2410], [0.5060, 0.2530, 0.7590], [0.4790, 0.2395, 0.2447], [0.9948, 0.2342, 0.7553], [0.5210, 0.7605, 0.7553], [0.9948, 0.7605, 0.7553], [0.0052, 0.2395, 0.2447], [0.0052, 0.7658, 0.2447]]}

***

{"formula": "YPa3Se4", "functional": "PBE", "state": "relaxed", "m_tot_mub_per_cell": 1.1, "formation_energy_uncorrected_ev_per_atom": -1.3341, "cell": [[-3.8008, 0.2699, 0.7930], [-1.4953, -3.8054, -5.8716], [-0.0899, -6.8930, 1.9159]], "species": ["Y", "Pa", "Pa", "Pa", "Se", "Se", "Se", "Se"], "frac_coords": [[0.5000, 0.5001, 0.9999], [0.5000, 0.0001, 0.4999], [0.9999, 0.0001, 0.0000], [0.9999, 0.5001, 0.5000], [0.0000, 0.7461, 0.7540], [0.4999, 0.7475, 0.2474], [0.0000, 0.2542, 0.2459], [0.4999, 0.2526, 0.7526]]}

***

{"formula": "YPa2Se5", "functional": "PBE", "state": "relaxed", "m_tot_mub_per_cell": 4.9, "formation_energy_uncorrected_ev_per_atom": -1.4590, "cell": [[3.9825, 0.0000, 0.0000], [0.0000, 8.0950, 0.0000], [0.0000, 0.0000, 12.4332]], "species": ["Y", "Y", "Pa", "Pa", "Pa", "Pa", "Se", "Se", "Se", "Se", "Se", "Se", "Se", "Se", "Se", "Se"], "frac_coords": [[0.0000, 0.5000, 0.5000], [0.0000, 0.0000, 0.0000], [0.5000, 0.5235, 0.1786], [0.5000, 0.4765, 0.8214], [0.5000, 0.9765, 0.6786], [0.5000, 0.0235, 0.3214], [0.0000, 0.0000, 0.5000], [0.0000, 0.5000, 0.0000], [0.0000, 0.8149, 0.1970], [0.0000, 0.1851, 0.8030], [0.0000, 0.6851, 0.6970], [0.0000, 0.3149, 0.3030], [0.5000, 0.6750, 0.3936], [0.5000, 0.3250, 0.6064], [0.5000, 0.8250, 0.8936], [0.5000, 0.1750, 0.1064]]}

***

{"formula": "YPaSe2", "functional": "PBE", "state": "relaxed", "m_tot_mub_per_cell": 1.2, "formation_energy_uncorrected_ev_per_atom": -1.4835, "cell": [[-3.5990, -1.2136, -1.3192], [1.8192, -1.9824, 2.9877], [-9.1478, 12.2438, 13.6941]], "species": ["Y", "Y", "Y", "Pa", "Pa", "Pa", "Se", "Se", "Se", "Se", "Se", "Se"], "frac_coords": [[0.3333, 0.6667, 0.6681], [0.6667, 0.3333, 0.3319], [0.0000, 0.0000, 0.5000], [0.6667, 0.3333, 0.8352], [0.3333, 0.6667, 0.1648], [0.0000, 0.0000, 0.0000], [0.3333, 0.6667, 0.9177], [0.6667, 0.3333, 0.0823], [0.3333, 0.6667, 0.4167], [0.6667, 0.3333, 0.5833], [0.0000, 0.0000, 0.7495], [0.0000, 0.0000, 0.2505]]}

***

{"formula": "Y2PaSe3", "functional": "PBE", "state": "relaxed", "m_tot_mub_per_cell": 1.3, "formation_energy_uncorrected_ev_per_atom": -1.5514, "cell": [[3.9653, 0.0000, 0.0000], [-1.9827, 3.4341, 0.0000], [0.0000, 0.0000, 21.2167]], "species": ["Y", "Y", "Y", "Y", "Pa", "Pa", "Se", "Se", "Se", "Se", "Se", "Se"], "frac_coords": [[0.3333, 0.6667, 0.9145], [0.6667, 0.3333, 0.0855], [0.6667, 0.3333, 0.4145], [0.3333, 0.6667, 0.5855], [0.0000, 0.0000, 0.2500], [0.0000, 0.0000, 0.7500], [0.0000, 0.0000, 0.0000], [0.3333, 0.6667, 0.1635], [0.3333, 0.6667, 0.3365], [0.0000, 0.0000, 0.5000], [0.6667, 0.3333, 0.6635], [0.6667, 0.3333, 0.8365]]}

***

{"formula": "Y2PaSe4", "functional": "PBE", "state": "relaxed", "m_tot_mub_per_cell": 3.2, "formation_energy_uncorrected_ev_per_atom": -1.6004, "cell": [[3.9815, 0.0000, 0.0000], [-1.9907, 6.7794, 0.0000], [0.0000, 0.0000, 13.6379]], "species": ["Y", "Y", "Y", "Y", "Pa", "Pa", "Se", "Se", "Se", "Se", "Se", "Se", "Se", "Se"], "frac_coords": [[0.1347, 0.2694, 0.4332], [0.8653, 0.7306, 0.9332], [0.1347, 0.2694, 0.0668], [0.8653, 0.7306, 0.5668], [0.6234, 0.2468, 0.7500], [0.3766, 0.7532, 0.2500], [0.7747, 0.5493, 0.1258], [0.7747, 0.5493, 0.3742], [0.2253, 0.4507, 0.8742], [0.2253, 0.4507, 0.6258], [0.9667, 0.9334, 0.7500], [0.0333, 0.0666, 0.2500], [0.5000, 0.0000, 0.0000], [0.5000, 0.0000, 0.5000]]}

***

{"formula": "YPa5Se6", "functional": "PBE", "state": "relaxed", "m_tot_mub_per_cell": 2.9, "formation_energy_uncorrected_ev_per_atom": -1.2866, "cell": [[-6.6924, -1.0502, -2.0053], [4.8225, 1.7457, -4.8589], [1.9007, -6.5872, 1.2158]], "species": ["Y", "Pa", "Pa", "Pa", "Pa", "Pa", "Se", "Se", "Se", "Se", "Se", "Se"], "frac_coords": [[0.0000, 0.0000, 0.0000], [0.8325, 0.1675, 0.5000], [0.6661, 0.3339, 0.0000], [0.5000, 0.5000, 0.5000], [0.3339, 0.6661, 0.0000], [0.1675, 0.8325, 0.5000], [0.4128, 0.0820, 0.2473], [0.9180, 0.5872, 0.7527], [0.2469, 0.2469, 0.7503], [0.7531, 0.7531, 0.2497], [0.0820, 0.4128, 0.2473], [0.5872, 0.9180, 0.7527]]}

***

{"formula": "YPaSe2", "functional": "PBE", "state": "relaxed", "m_tot_mub_per_cell": 2.2, "formation_energy_uncorrected_ev_per_atom": -0.9408, "cell": [[3.9172, 0.0000, 0.0000], [1.9586, 3.3924, 0.0000], [1.9586, 1.1308, 9.0715]], "species": ["Y", "Pa", "Se", "Se"], "frac_coords": [[0.5000, 0.5000, 0.5000], [0.0000, 0.0000, 0.0000], [0.1041, 0.1041, 0.6876], [0.8959, 0.8959, 0.3124]]}

***

{"formula": "YPaSe", "functional": "PBE", "state": "relaxed", "m_tot_mub_per_cell": 0.0, "formation_energy_uncorrected_ev_per_atom": -0.8828, "cell": [[4.0782, 0.0000, 0.0000], [0.0000, 4.0766, 0.0000], [0.0000, 0.0000, 16.8583]], "species": ["Se", "Se", "Se", "Se", "Pa", "Pa", "Pa", "Pa", "Y", "Y", "Y", "Y"], "frac_coords": [[0.2505, 0.7500, 0.8550], [0.2495, 0.7500, 0.3550], [0.7495, 0.2500, 0.1450], [0.7505, 0.2500, 0.6450], [0.2501, 0.2500, 0.5003], [0.2499, 0.2500, 0.0003], [0.7499, 0.7500, 0.4997], [0.7501, 0.7500, 0.9997], [0.2505, 0.7500, 0.6787], [0.2495, 0.7500, 0.1787], [0.7495, 0.2500, 0.3213], [0.7505, 0.2500, 0.8213]]}

***

{"formula": "YPa4Se5", "functional": "PBE", "state": "relaxed", "m_tot_mub_per_cell": 2.1, "formation_energy_uncorrected_ev_per_atom": -1.3087, "cell": [[-3.3185, -2.2814, 0.3343], [-0.8780, -2.7202, -2.8564], [7.4681, -13.3360, 7.5462]], "species": ["Y", "Pa", "Pa", "Pa", "Pa", "Se", "Se", "Se", "Se", "Se"], "frac_coords": [[0.5000, 0.5000, 0.5000], [0.9010, 0.9010, 0.2971], [0.2998, 0.2998, 0.1005], [0.7002, 0.7002, 0.8995], [0.0990, 0.0990, 0.7029], [0.3996, 0.3996, 0.8011], [0.0000, 0.0000, 0.0000], [0.6004, 0.6004, 0.1989], [0.8002, 0.8002, 0.5995], [0.1998, 0.1998, 0.4005]]}